{
  "formula": "CsPaO4",
  "functional": "PBE",
  "state": "relaxed",
  "lattice": [[4.3408, 0.0000, 0.0000], [0.0000, 4.3408, 0.0000], [0.0000, 0.0000, 5.8234]],
  "species": ["Cs", "Pa", "O", "O", "O", "O"],
  "frac_coords": [[0.0000, 0.0000, 0.0000], [0.5000, 0.5000, 0.5000], [0.0000, 0.5000, 0.5000], [0.5000, 0.0000, 0.5000], [0.5000, 0.5000, 0.1220], [0.5000, 0.5000, 0.8780]],
  "total_energy_ev_per_atom": -7.50,
  "mass_density_g_cm3": 6.5,
  "space_group": "P4/mmm, No. 123",
  "raw_formation_energy_kcal_per_mol_atoms": -56.99,
  "vol_a3_per_cell": 109.73,
  "de_polymorph_mev_per_atom": 0
}